(1)
Crystalline Ca5PuTe6 at its relaxed geometry, computed with PBE-GGA.

Cell lengths 7.829, 7.829, 7.829 Å; angles 99.61, 99.61, 119.99 degrees
Fractional coordinates of all 12 atoms:
1 Te 0.749 0.749 0.250
2 Te 0.418 0.084 0.251
3 Te 0.916 0.582 0.749
4 Te 0.084 0.418 0.251
5 Te 0.582 0.916 0.749
6 Te 0.251 0.251 0.750
7 Ca 0.333 0.667 0.000
8 Ca 0.667 0.333 0.000
9 Ca 0.166 0.834 0.500
10 Ca 0.500 0.500 0.500
11 Ca 0.834 0.166 0.500
12 Pu 0.000 0.000 0.000

As for the final energy: -5.12 eV per atom. Its density of states at the Fermi level is 21.2 states/eV per cell. The space group is C2/m (12).

=====

(2)
Crystalline Te3Rh at its relaxed geometry, computed with PBE-GGA.

Cell lengths 8.472, 8.472, 3.738 Å; angles 90.00, 90.00, 120.20 degrees
Fractional coordinates of all 8 atoms:
1 Te 0.202 0.405 0.250
2 Te 0.405 0.202 0.750
3 Te 0.795 0.205 0.750
4 Te 0.205 0.795 0.250
5 Te 0.595 0.798 0.250
6 Te 0.798 0.595 0.750
7 Rh 0.335 0.665 0.750
8 Rh 0.665 0.335 0.250

As for the final energy: -4.27 eV per atom. Its density of states at the Fermi level is 3.2 states/eV per cell. The space group is Cmcm (63).

=====

(3)
Crystalline Te2AsPb at its relaxed geometry, computed with PBE-GGA.

Cell lengths 3.724, 3.724, 7.846 Å; angles 90.00, 90.00, 90.00 degrees
Fractional coordinates of all 4 atoms:
1 Te 0.000 0.000 0.025
2 Te 0.000 0.000 0.475
3 Pb 0.500 0.500 0.750
4 As 0.500 0.500 0.250

The energy above the most stable polymorph in this dataset is 246 meV/atom. Its density of states at the Fermi level is 2.3 states/eV per cell. The space group is P4/mmm (123).